RbSr3Ru: relaxed, GGA-PBE.

Mass density   3.3 g/cm³
Total moment   0.000 μB per formula unit
Formation enthalpy at 0 K   0.27 eV/atom

a b c (Å): 6.066 6.066 6.066
angles (deg): 90.00 90.00 90.00
Space group Pm-3m (No. 221)
Unique sites:
1 Rb 0.000 0.000 0.000 [1 per cell]
2 Sr 0.000 0.500 0.500 [3 per cell]
3 Ru 0.500 0.500 0.500 [1 per cell]